No. 1
Computed, not measured: a crystal of InSb3 relaxed with PBEsol at the SCAN level of DFT.

- Space-group type: No. 63
- Uncorrected formation energy: 0.9 meV/atom
- Total DFT energy (no corrections): -36.2912 eV per atom
- Fermi-level density of states: 0.538 states/eV/atom
- Calculated volume: 114.2 Å³/f.u.

Cell: 6.149 6.149 6.040 Å, 90.00 90.00 91.14°
Atoms (fractional coordinates):
In 0.236 0.764 0.750
In 0.764 0.236 0.250
Sb 0.252 0.265 0.250
Sb 0.264 0.736 0.250
Sb 0.265 0.252 0.750
Sb 0.735 0.748 0.250
Sb 0.736 0.264 0.750
Sb 0.748 0.735 0.750

=====

No. 2
Computed, not measured: a crystal of In8Sb relaxed with PBEsol at the SCAN level of DFT.

- Space-group type: No. 139
- Uncorrected formation energy: 81.3 meV/atom
- Total DFT energy (no corrections): -33.7356 eV per atom
- Fermi-level density of states: 0.513 states/eV/atom
- Calculated volume: 230.8 Å³/f.u.

Cell: 7.313 7.313 7.313 Å, 96.31 96.31 141.28°
Atoms (fractional coordinates):
In 0.000 0.335 0.335
In 0.000 0.665 0.665
In 0.334 0.334 0.668
In 0.334 0.666 0.000
In 0.335 0.000 0.335
In 0.665 0.000 0.665
In 0.666 0.334 0.000
In 0.666 0.666 0.332
Sb 0.000 0.000 0.000

=====

No. 3
Computed, not measured: a crystal of In5Sb relaxed with PBEsol at the SCAN level of DFT.

- Space-group type: No. 189
- Uncorrected formation energy: 108.3 meV/atom
- Total DFT energy (no corrections): -33.9238 eV per atom
- Fermi-level density of states: 0.548 states/eV/atom
- Calculated volume: 154.9 Å³/f.u.

Cell: 5.580 5.580 5.744 Å, 90.00 90.00 120.00°
Atoms (fractional coordinates):
In 0.000 0.330 0.000
In 0.330 0.000 0.000
In 0.333 0.667 0.500
In 0.667 0.333 0.500
In 0.670 0.670 0.000
Sb 0.000 0.000 0.500

=====

No. 4
Computed, not measured: a crystal of In5Sb relaxed with PBEsol at the SCAN level of DFT.

- Space-group type: No. 123
- Uncorrected formation energy: 94.6 meV/atom
- Total DFT energy (no corrections): -33.9376 eV per atom
- Fermi-level density of states: 0.466 states/eV/atom
- Calculated volume: 154.2 Å³/f.u.

Cell: 3.327 3.327 13.924 Å, 90.00 90.00 90.00°
Atoms (fractional coordinates):
In 0.000 0.000 0.000
In 0.000 0.000 0.332
In 0.000 0.000 0.668
In 0.500 0.500 0.165
In 0.500 0.500 0.835
Sb 0.500 0.500 0.500

=====

No. 5
Computed, not measured: a crystal of In3Sb relaxed with PBEsol at the SCAN level of DFT.

- Space-group type: No. 71
- Uncorrected formation energy: 92.0 meV/atom
- Total DFT energy (no corrections): -34.2630 eV per atom
- Fermi-level density of states: 0.436 states/eV/atom
- Calculated volume: 103.8 Å³/f.u.

Cell: 6.397 6.397 6.397 Å, 148.90 129.23 60.75°
Atoms (fractional coordinates):
In 0.000 0.000 0.000
In 0.255 0.755 0.500
In 0.745 0.245 0.500
Sb 0.500 0.500 0.000

=====

No. 6
Computed, not measured: a crystal of In5Sb relaxed with PBEsol at the SCAN level of DFT.

- Space-group type: No. 38
- Uncorrected formation energy: 94.9 meV/atom
- Total DFT energy (no corrections): -33.9373 eV per atom
- Fermi-level density of states: 0.475 states/eV/atom
- Calculated volume: 154.7 Å³/f.u.

Cell: 5.450 9.056 9.056 Å, 20.25 90.00 90.00°
Atoms (fractional coordinates):
In 0.000 0.000 0.000
In 0.000 0.331 0.331
In 0.500 0.232 0.232
In 0.500 0.566 0.566
In 0.500 0.900 0.900
Sb 0.000 0.664 0.664

=====

No. 7
Computed, not measured: a crystal of ScInSb2 relaxed with PBEsol at the SCAN level of DFT.

- Space-group type: No. 119
- Uncorrected formation energy: -338.9 meV/atom
- Total DFT energy (no corrections): -30.8751 eV per atom
- Fermi-level density of states: 0.444 states/eV/atom
- Calculated volume: 95.7 Å³/f.u.

Cell: 6.078 6.078 6.078 Å, 138.98 138.98 59.40°
Atoms (fractional coordinates):
Sc 0.000 0.000 0.000
In 0.250 0.750 0.500
Sb 0.500 0.500 0.000
Sb 0.750 0.250 0.500

=====

No. 8
Computed, not measured: a crystal of ScZnInSb2 relaxed with PBEsol at the SCAN level of DFT.

- Space-group type: No. 123
- Uncorrected formation energy: 248.8 meV/atom
- Total DFT energy (no corrections): -26.8833 eV per atom
- Fermi-level density of states: 0.638 states/eV/atom
- Calculated volume: 132.5 Å³/f.u.

Cell: 5.127 5.127 5.040 Å, 90.00 90.00 90.00°
Atoms (fractional coordinates):
Sc 0.000 0.000 0.000
Zn 0.000 0.000 0.500
In 0.500 0.500 0.000
Sb 0.000 0.500 0.500
Sb 0.500 0.000 0.500

=====

No. 9
Computed, not measured: a crystal of InSbTe2Se relaxed with PBEsol at the SCAN level of DFT.

- Space-group type: No. 123
- Uncorrected formation energy: 820.5 meV/atom
- Total DFT energy (no corrections): -32.2250 eV per atom
- Fermi-level density of states: 0.994 states/eV/atom
- Calculated volume: 166.5 Å³/f.u.

Cell: 5.463 5.463 5.581 Å, 90.00 90.00 90.00°
Atoms (fractional coordinates):
In 0.000 0.000 0.000
Sb 0.000 0.000 0.500
Te 0.000 0.500 0.000
Te 0.500 0.000 0.000
Se 0.500 0.500 0.500

=====

No. 10
Computed, not measured: a crystal of InSb2TeSe relaxed with PBEsol at the SCAN level of DFT.

- Space-group type: No. 123
- Uncorrected formation energy: 556.8 meV/atom
- Total DFT energy (no corrections): -32.4907 eV per atom
- Fermi-level density of states: 1.027 states/eV/atom
- Calculated volume: 157.8 Å³/f.u.

Cell: 5.333 5.333 5.549 Å, 90.00 90.00 90.00°
Atoms (fractional coordinates):
In 0.000 0.000 0.000
Sb 0.000 0.500 0.500
Sb 0.500 0.000 0.500
Te 0.500 0.500 0.000
Se 0.500 0.500 0.500

=====

No. 11
Computed, not measured: a crystal of InSiSb2 relaxed with PBEsol at the SCAN level of DFT.

- Space-group type: No. 65
- Uncorrected formation energy: 420.8 meV/atom
- Total DFT energy (no corrections): -29.0601 eV per atom
- Fermi-level density of states: 0.500 states/eV/atom
- Calculated volume: 94.5 Å³/f.u.

Cell: 3.181 3.181 9.997 Å, 90.00 90.00 110.82°
Atoms (fractional coordinates):
In 0.000 0.000 0.000
Si 0.000 0.000 0.500
Sb 0.500 0.500 0.280
Sb 0.500 0.500 0.720

=====

No. 12
Computed, not measured: a crystal of InSiSb2 relaxed with PBEsol at the SCAN level of DFT.

- Space-group type: No. 35
- Uncorrected formation energy: 424.7 meV/atom
- Total DFT energy (no corrections): -29.0562 eV per atom
- Fermi-level density of states: 0.541 states/eV/atom
- Calculated volume: 94.7 Å³/f.u.

Cell: 3.227 3.227 9.423 Å, 90.00 90.00 105.13°
Atoms (fractional coordinates):
In 0.000 0.000 0.000
Si 0.500 0.500 0.224
Sb 0.000 0.000 0.434
Sb 0.500 0.500 0.738

=====

No. 13
Computed, not measured: a crystal of InSiSb3 relaxed with PBEsol at the SCAN level of DFT.

- Space-group type: No. 221
- Uncorrected formation energy: 588.5 meV/atom
- Total DFT energy (no corrections): -30.4483 eV per atom
- Fermi-level density of states: 0.702 states/eV/atom
- Calculated volume: 141.1 Å³/f.u.

Cell: 5.206 5.206 5.206 Å, 90.00 90.00 90.00°
Atoms (fractional coordinates):
In 0.000 0.000 0.000
Si 0.500 0.500 0.500
Sb 0.000 0.500 0.500
Sb 0.500 0.000 0.500
Sb 0.500 0.500 0.000

=====

No. 14
Computed, not measured: a crystal of InSiSb2 relaxed with PBEsol at the SCAN level of DFT.

- Space-group type: No. 47
- Uncorrected formation energy: 467.4 meV/atom
- Total DFT energy (no corrections): -29.0135 eV per atom
- Fermi-level density of states: 0.423 states/eV/atom
- Calculated volume: 93.6 Å³/f.u.

Cell: 3.649 5.051 5.077 Å, 90.00 90.00 90.00°
Atoms (fractional coordinates):
In 0.000 0.000 0.000
Si 0.500 0.500 0.000
Sb 0.000 0.500 0.500
Sb 0.500 0.000 0.500

=====

No. 15
Computed, not measured: a crystal of InSnSb2 relaxed with PBEsol at the SCAN level of DFT.

- Space-group type: No. 122
- Uncorrected formation energy: 65.4 meV/atom
- Total DFT energy (no corrections): -35.8918 eV per atom
- Fermi-level density of states: 0.520 states/eV/atom
- Calculated volume: 147.4 Å³/f.u.

Cell: 8.215 8.215 8.215 Å, 132.61 132.61 69.27°
Atoms (fractional coordinates):
In 0.000 0.000 0.000
In 0.750 0.250 0.500
Sn 0.250 0.750 0.500
Sn 0.500 0.500 0.000
Sb 0.117 0.625 0.992
Sb 0.375 0.367 0.492
Sb 0.633 0.125 0.008
Sb 0.875 0.883 0.508

=====

No. 16
Computed, not measured: a crystal of SrIn4Sb relaxed with PBEsol at the SCAN level of DFT.

- Space-group type: No. 216
- Uncorrected formation energy: -161.4 meV/atom
- Total DFT energy (no corrections): -32.3416 eV per atom
- Fermi-level density of states: 0.530 states/eV/atom
- Calculated volume: 165.1 Å³/f.u.

Cell: 6.157 6.157 6.157 Å, 60.00 60.00 60.00°
Atoms (fractional coordinates):
Sr 0.000 0.000 0.000
In 0.127 0.624 0.624
In 0.624 0.127 0.624
In 0.624 0.624 0.127
In 0.624 0.624 0.624
Sb 0.250 0.250 0.250

=====

No. 17
Computed, not measured: a crystal of SrTiIn2Sb relaxed with PBEsol at the SCAN level of DFT.

- Space-group type: No. 123
- Uncorrected formation energy: -347.4 meV/atom
- Total DFT energy (no corrections): -28.8151 eV per atom
- Fermi-level density of states: 0.398 states/eV/atom
- Calculated volume: 144.4 Å³/f.u.

Cell: 5.269 5.269 5.202 Å, 90.00 90.00 90.00°
Atoms (fractional coordinates):
Sr 0.000 0.000 0.000
Ti 0.500 0.500 0.500
In 0.000 0.500 0.500
In 0.500 0.000 0.500
Sb 0.500 0.500 0.000

=====

No. 18
Computed, not measured: a crystal of Ta2InSb relaxed with PBEsol at the SCAN level of DFT.

- Space-group type: No. 119
- Uncorrected formation energy: 310.1 meV/atom
- Total DFT energy (no corrections): -50.6433 eV per atom
- Fermi-level density of states: 0.914 states/eV/atom
- Calculated volume: 76.9 Å³/f.u.

Cell: 5.350 5.350 5.350 Å, 134.42 134.42 66.43°
Atoms (fractional coordinates):
Ta 0.000 0.000 0.000
Ta 0.750 0.250 0.500
In 0.500 0.500 0.000
Sb 0.250 0.750 0.500

=====

No. 19
Computed, not measured: a crystal of Ta4InSb relaxed with PBEsol at the SCAN level of DFT.

- Space-group type: No. 216
- Uncorrected formation energy: 329.1 meV/atom
- Total DFT energy (no corrections): -55.8343 eV per atom
- Fermi-level density of states: 0.532 states/eV/atom
- Calculated volume: 118.6 Å³/f.u.

Cell: 5.514 5.514 5.514 Å, 60.00 60.00 60.00°
Atoms (fractional coordinates):
Ta 0.124 0.124 0.124
Ta 0.124 0.124 0.627
Ta 0.124 0.627 0.124
Ta 0.627 0.124 0.124
In 0.750 0.750 0.750
Sb 0.500 0.500 0.500

=====

No. 20
Computed, not measured: a crystal of Ta2InSb relaxed with PBEsol at the SCAN level of DFT.

- Space-group type: No. 160
- Uncorrected formation energy: 191.7 meV/atom
- Total DFT energy (no corrections): -50.7617 eV per atom
- Fermi-level density of states: 0.596 states/eV/atom
- Calculated volume: 84.6 Å³/f.u.

Cell: 9.459 9.459 9.459 Å, 19.76 19.76 19.76°
Atoms (fractional coordinates):
Ta 0.000 0.000 0.000
Ta 0.263 0.263 0.263
In 0.511 0.511 0.511
Sb 0.746 0.746 0.746